No. 1
Here is a relaxed structure of PrVH from Alexandria via LeMat-Bulk. Energies are from PBE.

Values from the calculation:
E_tot	-5.315	eV/atom

Geometry as extended XYZ:
```
12
Lattice="0.000 6.677 9.880 1.538 0.000 9.880 1.538 6.677 0.000" Properties=species:S:1:pos:R:3 pbc="T T T"
Pr 1.153 0.089 7.410
Pr 1.922 3.428 12.350
Pr 1.153 9.926 7.410
Pr 1.922 13.265 12.350
V 1.153 5.008 0.029
V 1.922 8.347 4.969
V 1.153 5.008 14.791
V 1.922 8.347 19.731
H 1.153 5.008 6.089
H 1.153 5.008 8.731
H 1.922 8.347 11.029
H 1.922 8.347 13.671
```

---

No. 2
Here is a relaxed structure of Cs2ScSe from Alexandria via LeMat-Bulk. Energies are from PBE.

Values from the calculation:
E_tot	-3.274	eV/atom
E_form (uncorrected)	-393	meV per atom

Geometry as extended XYZ:
```
8
Lattice="-7.021 7.021 2.577 7.021 -7.021 2.577 7.021 7.021 -2.577" Properties=species:S:1:pos:R:3 pbc="T T T"
Cs 1.136 3.510 0.644
Cs -3.510 5.885 1.933
Cs -1.136 10.531 0.644
Cs 3.510 8.157 1.933
Sc 7.021 0.000 1.288
Sc 0.000 0.000 2.577
Se 0.000 0.000 0.000
Se 0.000 7.021 1.288
```

---

No. 3
Here is a relaxed structure of Pr2Sm3Zn2 from Alexandria via LeMat-Bulk. Energies are from PBE.

Values from the calculation:
E_tot	-3.874	eV/atom
energy of formation from the pure elements	-122	meV per atom

Geometry as extended XYZ:
```
7
Lattice="1.853 -15.381 0.000 1.853 15.381 0.000 0.000 0.000 3.630" Properties=species:S:1:pos:R:3 pbc="T T T"
Pr 1.853 9.232 0.000
Pr 1.853 -9.232 0.000
Sm 1.853 12.813 0.000
Sm 1.853 0.000 1.815
Sm 1.853 -12.813 0.000
Zn 1.853 4.297 1.815
Zn 1.853 -4.297 1.815
```

---

No. 4
Here is a relaxed structure of Nd2PdRh from Alexandria via LeMat-Bulk. Energies are from PBE.

Values from the calculation:
E_tot	-6.116	eV/atom
energy of formation from the pure elements	-596	meV per atom

Geometry as extended XYZ:
```
4
Lattice="2.043 1.180 7.133 -2.043 1.180 7.133 0.000 -2.359 7.133" Properties=species:S:1:pos:R:3 pbc="T T T"
Nd 0.000 0.000 0.000
Nd 0.000 0.000 3.841
Pd 0.000 0.000 9.098
Rh 0.000 0.000 12.585
```

---

Q: The highest E_tot belongs to which entry?
A: Cs2ScSe

---

Q: The highest E_tot belongs to which entry?
A: Cs2ScSe

---

Q: Which of these has the highest E_tot?
A: Cs2ScSe